(1)
A plane-wave DFT calculation with PBE was carried out for a relaxed structure of Sm3CuSi3.

Summary:
**ρ**: 6.491 g cm⁻³
**E_form (uncorrected)**: -4.9 eV per formula unit
**M_tot**: 0.66 μB per formula unit

Geometry as CIF:
```
data_Sm3CuSi3
_chemical_formula_sum 'Sm6 Cu2 Si6'
_space_group_name_H-M_alt 'I m m 2'
_space_group_IT_number 44
_cell_length_a 3.9780
_cell_length_b 4.2849
_cell_length_c 17.9756
_cell_angle_alpha 90.00
_cell_angle_beta 90.00
_cell_angle_gamma 90.00
loop_
_space_group_symop_operation_xyz
'x,y,z'
'-x,-y,z'
'-x,y,z'
'x,-y,z'
'x+1/2,y+1/2,z+1/2'
'-x+1/2,-y+1/2,z+1/2'
'-x+1/2,y+1/2,z+1/2'
'x+1/2,-y+1/2,z+1/2'
loop_
_atom_site_label
_atom_site_fract_x
_atom_site_fract_y
_atom_site_fract_z
_atom_site_occupancy
Sm1 0.0000 0.0000 0.0000 1
Sm2 0.0000 0.0000 0.3677 1
Sm3 0.0000 0.5000 0.6858 1
Cu1 0.0000 0.5000 0.1170 1
Si1 0.0000 0.0000 0.5454 1
Si2 0.0000 0.0000 0.8255 1
Si3 0.0000 0.5000 0.2446 1
```

***

(2)
A plane-wave DFT calculation with PBE was carried out for a relaxed structure of K2UZn3F12.

Summary:
**ρ**: 4.459 g cm⁻³
**E_form (uncorrected)**: -49.5 eV per formula unit
**M_tot**: 2.00 μB per formula unit

Geometry as CIF:
```
data_K2UZn3F12
_chemical_formula_sum 'K6 U3 Zn9 F36'
_space_group_name_H-M_alt 'R -3 m'
_space_group_IT_number 166
_space_group_name_Hall '-R 3 2"'
_cell_length_a 7.5219
_cell_length_b 7.5219
_cell_length_c 16.8835
_cell_angle_alpha 90.00
_cell_angle_beta 90.00
_cell_angle_gamma 120.00
loop_
_atom_site_label
_atom_site_fract_x
_atom_site_fract_y
_atom_site_fract_z
_atom_site_occupancy
K1 0.0000 0.0000 0.1128 1
U1 0.0000 0.0000 0.5000 1
Zn1 0.0000 0.5000 0.0000 1
F1 0.0047 0.5023 0.8749 1
F2 0.0806 0.5403 0.3075 1
```

***

(3)
A plane-wave DFT calculation with PBE was carried out for a relaxed structure of Nd2PRu.

Summary:
**ρ**: 6.116 g cm⁻³
**DFT formation energy**: -2 meV per atom
**M_tot**: 0.49 μB per formula unit

Geometry as CIF:
```
data_Nd2PRu
_chemical_formula_sum 'Nd6 P3 Ru3'
_space_group_name_H-M_alt 'R -3 m'
_space_group_IT_number 166
_space_group_name_Hall '-R 3 2"'
_cell_length_a 3.9119
_cell_length_b 3.9119
_cell_length_c 25.8457
_cell_angle_alpha 90.00
_cell_angle_beta 90.00
_cell_angle_gamma 120.00
loop_
_atom_site_label
_atom_site_fract_x
_atom_site_fract_y
_atom_site_fract_z
_atom_site_occupancy
Nd1 0.0000 0.0000 0.1001 1
P1 0.0000 0.0000 0.5000 1
Ru1 0.0000 0.0000 0.0000 1
```

***

(4)
A plane-wave DFT calculation with PBE was carried out for a relaxed structure of Y2AsCl.

Summary:
**ρ**: 4.872 g cm⁻³
**E_form (uncorrected)**: -4.9 eV per formula unit
**M_tot**: 0.65 μB per formula unit

Geometry as CIF:
```
data_Y2AsCl
_chemical_formula_sum 'Y2 As1 Cl1'
_space_group_name_H-M_alt 'P m m m'
_space_group_IT_number 47
_cell_length_a 3.6528
_cell_length_b 3.7115
_cell_length_c 7.2454
_cell_angle_alpha 90.00
_cell_angle_beta 90.00
_cell_angle_gamma 90.00
loop_
_space_group_symop_operation_xyz
'x,y,z'
'-x,-y,-z'
'-x,-y,z'
'x,y,-z'
'x,-y,-z'
'-x,y,z'
'-x,y,-z'
'x,-y,z'
loop_
_atom_site_label
_atom_site_fract_x
_atom_site_fract_y
_atom_site_fract_z
_atom_site_occupancy
Y1 0.0000 0.0000 0.2230 1
As1 0.5000 0.5000 0.0000 1
Cl1 0.0000 0.5000 0.5000 1
```

***

(5)
A plane-wave DFT calculation with PBE was carried out for a relaxed structure of AcErGaOs.

Summary:
**ρ**: 11.341 g cm⁻³
**DFT formation energy**: -118 meV per atom
**M_tot**: 0.00 μB per formula unit

Geometry as CIF:
```
data_AcErGaOs
_chemical_formula_sum 'Ac4 Er4 Ga4 Os4'
_space_group_name_H-M_alt 'F -4 3 m'
_space_group_IT_number 216
_space_group_name_Hall 'F -4 2 3'
_cell_length_a 7.2631
_cell_length_b 7.2631
_cell_length_c 7.2631
_cell_angle_alpha 90.00
_cell_angle_beta 90.00
_cell_angle_gamma 90.00
loop_
_atom_site_label
_atom_site_fract_x
_atom_site_fract_y
_atom_site_fract_z
_atom_site_occupancy
Ac1 0.0000 0.0000 0.0000 1
Er1 0.0000 0.0000 0.5000 1
Ga1 0.2500 0.2500 0.2500 1
Os1 0.2500 0.2500 0.7500 1
```

***

(6)
A plane-wave DFT calculation with PBE was carried out for a relaxed structure of NdPuTh2Sb4.

Summary:
**ρ**: 8.637 g cm⁻³
**E_form (uncorrected)**: -7.5 eV per formula unit
**M_tot**: 5.78 μB per formula unit

Geometry as CIF:
```
data_NdPuTh2Sb4
_chemical_formula_sum 'Nd1 Pu1 Th2 Sb4'
_space_group_name_H-M_alt 'P 1 2/m 1'
_space_group_IT_number 10
_cell_length_a 7.7762
_cell_length_b 4.5073
_cell_length_c 7.7971
_cell_angle_alpha 90.00
_cell_angle_beta 109.57
_cell_angle_gamma 90.00
loop_
_space_group_symop_operation_xyz
'x,y,z'
'-x,-y,-z'
'-x,y,-z'
'x,-y,z'
loop_
_atom_site_label
_atom_site_fract_x
_atom_site_fract_y
_atom_site_fract_z
_atom_site_occupancy
Nd1 0.0000 0.0000 0.0000 1
Pu1 0.0000 0.5000 0.5000 1
Th1 0.5000 0.0000 0.5000 1
Th2 0.5000 0.5000 0.0000 1
Sb1 0.2474 0.0000 0.7469 1
Sb2 0.2494 0.5000 0.2519 1
```

***

(7)
A plane-wave DFT calculation with PBE was carried out for a relaxed structure of Ce3Sb2Te.

Summary:
**ρ**: 6.776 g cm⁻³
**Relative energy among the computed polymorphs**: 0.0000 eV per atom
**E_form (uncorrected)**: -7.0 eV per formula unit
**M_tot**: 3.06 μB per formula unit

Geometry as CIF:
```
data_Ce3Sb2Te
_chemical_formula_sum 'Ce12 Sb8 Te4'
_space_group_name_H-M_alt 'C 1 2/c 1'
_space_group_IT_number 15
_cell_length_a 7.7906
_cell_length_b 13.4757
_cell_length_c 7.8327
_cell_angle_alpha 90.00
_cell_angle_beta 109.35
_cell_angle_gamma 90.00
loop_
_space_group_symop_operation_xyz
'x,y,z'
'-x,-y,-z'
'-x,y,-z+1/2'
'x,-y,z+1/2'
'x+1/2,y+1/2,z'
'-x+1/2,-y+1/2,-z'
'-x+1/2,y+1/2,-z+1/2'
'x+1/2,-y+1/2,z+1/2'
loop_
_atom_site_label
_atom_site_fract_x
_atom_site_fract_y
_atom_site_fract_z
_atom_site_occupancy
Ce1 0.2460 0.0844 0.4991 1
Ce2 0.2500 0.2500 0.0000 1
Sb1 0.0000 0.0836 0.7500 1
Sb2 0.0000 0.2515 0.2500 1
Te1 0.0000 0.4178 0.7500 1
```

***

(8)
A plane-wave DFT calculation with PBE was carried out for a relaxed structure of SmGe2PdRh.

Summary:
**ρ**: 9.089 g cm⁻³
**DFT formation energy**: -823 meV per atom
**M_tot**: 0.00 μB per formula unit

Geometry as CIF:
```
data_SmGe2PdRh
_chemical_formula_sum 'Sm2 Ge4 Pd2 Rh2'
_space_group_name_H-M_alt 'I -4 m 2'
_space_group_IT_number 119
_space_group_name_Hall 'I -4 -2'
_cell_length_a 4.1998
_cell_length_b 4.1998
_cell_length_c 10.4610
_cell_angle_alpha 90.00
_cell_angle_beta 90.00
_cell_angle_gamma 90.00
loop_
_atom_site_label
_atom_site_fract_x
_atom_site_fract_y
_atom_site_fract_z
_atom_site_occupancy
Sm1 0.0000 0.0000 0.0000 1
Ge1 0.0000 0.0000 0.3808 1
Pd1 0.0000 0.5000 0.7500 1
Rh1 0.0000 0.5000 0.2500 1
```